[1]
VASP calculation (GGA-PBE) on Nb2Ni4Rh after structural relaxation.

Cell and atoms, written as POSCAR:
```
Nb2Ni4Rh
1.0
-3.4255 3.7165 -3.6169
-2.6336 -4.9812 -2.6230
1.1990 0.6671 4.8904
Rh Nb Ni
1 2 4
Direct
0.9991 0.9990 0.9981 Rh
0.2503 0.7503 0.5003 Nb
0.7500 0.2500 0.5003 Nb
0.3084 0.6912 0.9996 Ni
0.6920 0.3091 0.0010 Ni
0.6927 0.6927 0.0003 Ni
0.3076 0.3076 0.0003 Ni
```

Summary:
E   -7.11 eV per atom
Energy relative to the elements   0.117 eV/atom
Space-group type   I4mm

---

[2]
VASP calculation (GGA-PBE) on Nb2Ni15Rh2 after structural relaxation.

Cell and atoms, written as POSCAR:
```
Nb2Ni15Rh2
1.0
5.9966 -0.5375 1.4432
1.0100 5.9353 1.4432
-0.6977 -0.5375 6.1282
Rh Ni Nb
2 15 2
Direct
0.8927 0.8927 0.8927 Rh
0.1073 0.1073 0.1073 Rh
0.0000 0.5000 0.0000 Ni
0.6886 0.0000 0.3114 Ni
0.3516 0.3516 0.8340 Ni
0.3516 0.8340 0.3516 Ni
0.6886 0.3114 0.0000 Ni
0.5000 0.0000 0.0000 Ni
0.6484 0.6484 0.1660 Ni
0.6484 0.1660 0.6484 Ni
0.0000 0.3114 0.6886 Ni
0.1660 0.6484 0.6484 Ni
0.8340 0.3516 0.3516 Ni
0.3114 0.6886 0.0000 Ni
0.3114 0.0000 0.6886 Ni
0.0000 0.6886 0.3114 Ni
0.0000 0.0000 0.5000 Ni
0.3307 0.3307 0.3307 Nb
0.6693 0.6693 0.6693 Nb
```

Summary:
E   -6.41 eV per atom
Energy relative to the elements   -0.013 eV/atom
Energy above the lowest structure with this stoichiometry   0 meV per atom
Space-group type   R-3m

---

[3]
VASP calculation (GGA-PBE) on NbNi23Rh6 after structural relaxation.

Cell and atoms, written as POSCAR:
```
NbNi23Rh6
1.0
6.9301 0.0000 4.0011
2.3100 6.5337 4.0011
0.0000 0.0000 8.0022
Ni Rh Nb
23 6 1
Direct
0.3371 0.3371 0.9888 Ni
0.0000 0.5000 0.0000 Ni
0.3665 0.8778 0.8778 Ni
0.6629 0.0112 0.6629 Ni
0.1222 0.6335 0.1222 Ni
0.1222 0.1222 0.6335 Ni
0.5000 0.5000 0.0000 Ni
0.5000 0.0000 0.0000 Ni
0.5000 0.0000 0.5000 Ni
0.8778 0.8778 0.8778 Ni
0.0112 0.6629 0.6629 Ni
0.0000 0.0000 0.0000 Ni
0.0000 0.0000 0.5000 Ni
0.3371 0.3371 0.3371 Ni
0.6335 0.1222 0.1222 Ni
0.0000 0.5000 0.5000 Ni
0.9888 0.3371 0.3371 Ni
0.6629 0.6629 0.0112 Ni
0.1222 0.1222 0.1222 Ni
0.6629 0.6629 0.6629 Ni
0.8778 0.3665 0.8778 Ni
0.3371 0.9888 0.3371 Ni
0.8778 0.8778 0.3665 Ni
0.2710 0.2710 0.7290 Rh
0.7290 0.2710 0.2710 Rh
0.7290 0.2710 0.7290 Rh
0.2710 0.7290 0.2710 Rh
0.2710 0.7290 0.7290 Rh
0.7290 0.7290 0.2710 Rh
0.5000 0.5000 0.5000 Nb
```

Summary:
E   -6.17 eV per atom
Energy relative to the elements   0.069 eV/atom
Space-group type   Fm-3m

---

[4]
VASP calculation (GGA-PBE) on Nb2Ni3Rh2 after structural relaxation.

Cell and atoms, written as POSCAR:
```
Nb2Ni3Rh2
1.0
3.7819 0.0000 0.0000
-1.8910 4.3197 -0.1755
0.0000 -0.4232 6.0150
Rh Nb Ni
2 2 3
Direct
0.4296 0.8592 0.2744 Rh
0.5704 0.1408 0.7256 Rh
0.1407 0.2814 0.3957 Nb
0.8593 0.7186 0.6043 Nb
0.7152 0.4304 0.1277 Ni
0.0000 0.0000 0.0000 Ni
0.2848 0.5696 0.8723 Ni
```

Summary:
E   -7.66 eV per atom
Energy relative to the elements   -0.200 eV/atom
Space-group type   C2/m

---

Question: Look up the E of the fourth one.
Answer: -7.66 eV per atom

---

Question: Among the records above, which one has the lowest E?
Answer: Nb2Ni3Rh2

---

What did the fourth record say?
VASP calculation (GGA-PBE) on Nb2Ni3Rh2 after structural relaxation.

Cell and atoms, written as POSCAR:
```
Nb2Ni3Rh2
1.0
3.7819 0.0000 0.0000
-1.8910 4.3197 -0.1755
0.0000 -0.4232 6.0150
Rh Nb Ni
2 2 3
Direct
0.4296 0.8592 0.2744 Rh
0.5704 0.1408 0.7256 Rh
0.1407 0.2814 0.3957 Nb
0.8593 0.7186 0.6043 Nb
0.7152 0.4304 0.1277 Ni
0.0000 0.0000 0.0000 Ni
0.2848 0.5696 0.8723 Ni
```

Summary:
E   -7.66 eV per atom
Energy relative to the elements   -0.200 eV/atom
Space-group type   C2/m

---

Question: Among the records above, which one has the lowest energy relative to the elements?
Answer: Nb2Ni3Rh2